Record 1
# Pm2Ge2BOs2 (PBE, optimized geometry)
data_Pm2Ge2BOs2
_symmetry_space_group_name_H-M 'C 1 2/m 1'
_symmetry_Int_Tables_number 12
_symmetry_space_group_name_Hall '-C 2y'
_cell_length_a 11.2036
_cell_length_b 4.2935
_cell_length_c 7.1403
_cell_angle_alpha 90.00
_cell_angle_beta 128.95
_cell_angle_gamma 90.00
loop_
_atom_site_label
_atom_site_fract_x
_atom_site_fract_y
_atom_site_fract_z
Pm1 0.0631 0.0000 0.3294
Ge1 0.1602 0.5000 0.1125
B1 0.0000 0.5000 0.5000
Os1 0.2080 0.5000 0.8140
# ΔH_f (0 K): -619 meV/atom
# E: -7.46 eV/atom

Record 2
# OsBr4 (PBE, optimized geometry)
data_OsBr4
_symmetry_space_group_name_H-M 'P -4 21 c'
_symmetry_Int_Tables_number 114
_symmetry_space_group_name_Hall 'P -4 2n'
_cell_length_a 8.3903
_cell_length_b 8.3903
_cell_length_c 6.1874
_cell_angle_alpha 90.00
_cell_angle_beta 90.00
_cell_angle_gamma 90.00
loop_
_atom_site_label
_atom_site_fract_x
_atom_site_fract_y
_atom_site_fract_z
Os1 0.0000 0.0000 0.0000
Br1 0.0168 0.2295 0.2155
# E: -3.47 eV/atom

Record 3
# KPmO2 (PBE, optimized geometry)
data_KPmO2
_symmetry_space_group_name_H-M 'R 3 m'
_symmetry_Int_Tables_number 160
_symmetry_space_group_name_Hall 'R 3 -2"'
_cell_length_a 3.5897
_cell_length_b 3.5897
_cell_length_c 19.3707
_cell_angle_alpha 90.00
_cell_angle_beta 90.00
_cell_angle_gamma 120.00
loop_
_atom_site_label
_atom_site_fract_x
_atom_site_fract_y
_atom_site_fract_z
K1 0.0000 0.0000 0.0000
Pm1 0.0000 0.0000 0.1710
O1 0.0000 0.0000 0.5682
O2 0.0000 0.0000 0.7764
# E: -6.54 eV/atom

no.,total moment (Bohr magnetons per cell)
1,0.0
2,0.0
3,0.0